SiHgAu2, optimized geometry, DFT PBE; energy = -2.87 eV per atom; E above lowest polymorph = 137 meV per atom; formation energy without anion corrections = 0.81 eV/f.u.; SG = No. 123; total moment = 0.0 Bohr magnetons per cell
1.0
-1.950 2.246 0.802
0.570 -0.567 2.974
6.018 5.276 -0.147
Hg Au Si
1 2 1
Direct
0.500 0.500 0.250
0.000 0.000 0.539
0.000 0.000 0.961
0.500 0.500 0.750